(1)
## Ba2ZrTcH (GGA-PBE)

Data for a relaxed Ba2ZrTcH crystal.

Results
E_tot (eV per cell): -22.50
DOS at the Fermi energy (states/eV per cell): 7.4

abc: 6.3203 4.7667 6.3203
angles: 90.00 90.00 90.00
Closest atoms and distances in Å follow each position.
Atoms (fractional coordinates):
H 0.5000 0.5000 0.5000  8 Ba 3.96
Ba 0.0000 0.0000 0.5000  2 Tc 3.16
Ba 0.5000 0.0000 0.0000  2 Tc 3.16
Zr 0.0000 0.5000 0.0000  2 Tc 2.38
Tc 0.0000 0.0000 0.0000  2 Zr 2.38

***

(2)
## Ba3Te2H (GGA-PBE)

Data for a relaxed Ba3Te2H crystal.

Results
E_tot (eV per cell): -45.13
DOS at the Fermi energy (states/eV per cell): 6.5
Excess energy over the best structure of this formula in the dataset (meV per atom): 44

abc: 6.9344 9.6488 8.2718
angles: 106.96 114.78 90.00
Closest atoms and distances in Å follow each position.
Atoms (fractional coordinates):
Ba 0.4590 0.2500 0.0000  1 H 2.81
Ba 0.5410 0.7500 0.0000  1 H 2.81
Ba 0.1556 0.0788 0.3143  2 H 3.31, 4 Te 3.42-3.47
Ba 0.8413 0.4212 0.6857  2 H 3.31, 4 Te 3.42-3.47
Ba 0.1587 0.5788 0.3143  2 H 3.31, 4 Te 3.42-3.47
Ba 0.8444 0.9212 0.6857  2 H 3.31, 4 Te 3.42-3.47
Te 0.6734 0.5857 0.3437  6 Ba 3.42-3.47
Te 0.6703 0.0857 0.3437  6 Ba 3.42-3.47
Te 0.3297 0.9143 0.6563  6 Ba 3.42-3.47
Te 0.3266 0.4143 0.6563  6 Ba 3.42-3.47
H 0.9460 0.7500 0.0000  1 Ba 2.81
H 0.0540 0.2500 0.0000  1 Ba 2.81

***

(3)
## BaTeH3 (GGA-PBE)

Data for a relaxed BaTeH3 crystal.

Results
E_tot (eV per cell): -71.22
DOS at the Fermi energy (states/eV per cell): 0.0
Excess energy over the best structure of this formula in the dataset (meV per atom): 101

abc: 8.7068 4.8427 9.1128
angles: 90.00 94.02 90.00
Closest atoms and distances in Å follow each position.
Atoms (fractional coordinates):
Ba 0.2512 0.0000 0.6816  9 H 2.83-3.03
Ba 0.7488 0.0000 0.3184  9 H 2.83-3.03
Ba 0.2512 0.5000 0.1816  9 H 2.83-3.03
Ba 0.7488 0.5000 0.8184  9 H 2.83-3.03
Te 0.5000 0.5000 0.5000  2 H 1.99
Te 0.5000 0.0000 0.0000  2 H 1.99
Te 0.0000 0.0000 0.0000  4 H 3.18
Te 0.0000 0.5000 0.5000  4 H 3.18
H 0.5794 0.0000 0.8003  1 Te 1.99, 1 H 2.00
H 0.4206 0.0000 0.1997  1 Te 1.99, 1 H 2.00
H 0.5794 0.5000 0.3003  1 Te 1.99, 1 H 2.00
H 0.4206 0.5000 0.6997  1 Te 1.99, 1 H 2.00
H 0.7315 0.0000 0.6451  1 H 0.77
H 0.2685 0.0000 0.3549  1 H 0.77
H 0.7315 0.5000 0.1451  1 H 0.77
H 0.2685 0.5000 0.8549  1 H 0.77
H 0.1814 0.0000 0.3658  1 H 0.77
H 0.8186 0.0000 0.6342  1 H 0.77
H 0.1814 0.5000 0.8658  1 H 0.77
H 0.8186 0.5000 0.1342  1 H 0.77

***

(4)
## BaTeH3 (GGA-PBE)

Data for a relaxed BaTeH3 crystal.

Results
E_tot (eV per cell): -73.05
DOS at the Fermi energy (states/eV per cell): 0.0
Excess energy over the best structure of this formula in the dataset (meV per atom): 10

abc: 7.9891 4.7451 11.2650
angles: 90.00 91.25 90.00
Closest atoms and distances in Å follow each position.
Atoms (fractional coordinates):
Ba 0.2944 0.0000 0.7998  6 H 2.93-3.05
Ba 0.2944 0.5000 0.2998  6 H 2.93-3.05
Ba 0.7965 0.0000 0.0164  7 H 2.84-3.13
Ba 0.7965 0.5000 0.5164  7 H 2.84-3.13
Te 0.6173 0.0000 0.3075  5 H 2.84-3.18
Te 0.6173 0.5000 0.8075  5 H 2.84-3.18
Te 0.1234 0.0000 0.5042  3 H 2.85-3.14
Te 0.1234 0.5000 0.0042  3 H 2.85-3.14
H 0.6198 0.0000 0.6254  1 H 0.77
H 0.6198 0.5000 0.1254  1 H 0.77
H 0.9254 0.5805 0.2855  1 H 0.76
H 0.9254 0.4195 0.2855  1 H 0.76
H 0.9254 0.0805 0.7855  1 H 0.76
H 0.9254 0.9195 0.7855  1 H 0.76
H 0.0877 0.0000 0.2520  1 H 0.77
H 0.0877 0.5000 0.7520  1 H 0.77
H 0.5955 0.0000 0.5588  1 H 0.77
H 0.5955 0.5000 0.0588  1 H 0.77
H 0.1126 0.0000 0.1861  1 H 0.77
H 0.1126 0.5000 0.6861  1 H 0.77

***

(5)
## BaTeH3 (GGA-PBE)

Data for a relaxed BaTeH3 crystal.

Results
E_tot (eV per cell): -31.53
DOS at the Fermi energy (states/eV per cell): 3.9
Excess energy over the best structure of this formula in the dataset (meV per atom): 509

abc: 4.5134 5.9198 9.1560
angles: 90.00 125.84 90.00
Closest atoms and distances in Å follow each position.
Atoms (fractional coordinates):
Ba 0.9362 0.7500 0.1563  8 H 2.62-2.88
Ba 0.0638 0.2500 0.8437  8 H 2.62-2.88
Te 0.0755 0.7500 0.5861  1 H 1.74
Te 0.9245 0.2500 0.4139  1 H 1.74
H 0.4186 0.0048 0.1373  1 H 2.31
H 0.5814 0.9952 0.8627  1 H 2.31
H 0.4186 0.4952 0.1373  1 H 2.31
H 0.5814 0.5048 0.8627  1 H 2.31
H 0.6625 0.7500 0.3725  1 Te 1.74
H 0.3375 0.2500 0.6275  1 Te 1.74

***

(6)
## BaTeH3 (GGA-PBE)

Data for a relaxed BaTeH3 crystal.

Results
E_tot (eV per cell): -12.91
DOS at the Fermi energy (states/eV per cell): 3.2
Excess energy over the best structure of this formula in the dataset (meV per atom): 1079

abc: 4.6467 4.6467 4.6467
angles: 90.00 90.00 90.00
Closest atoms and distances in Å follow each position.
Atoms (fractional coordinates):
H 0.0000 0.5000 0.0000  2 Ba 2.32
H 0.0000 0.0000 0.5000  2 Ba 2.32
H 0.5000 0.0000 0.0000  2 Ba 2.32
Te 0.5000 0.5000 0.5000  12 H 3.29
Ba 0.0000 0.0000 0.0000  6 H 2.32

***

(7)
## BaTeH2 (GGA-PBE)

Data for a relaxed BaTeH2 crystal.

Results
E_tot (eV per cell): -24.75
DOS at the Fermi energy (states/eV per cell): 0.9
Excess energy over the best structure of this formula in the dataset (meV per atom): 674

abc: 4.8546 4.8546 8.3020
angles: 73.00 73.00 90.00
Closest atoms and distances in Å follow each position.
Atoms (fractional coordinates):
H 0.5530 0.1250 0.2500  2 Te 2.41
H 0.1970 0.6250 0.2500  2 Te 2.41
H 0.3750 0.4470 0.7500  2 Te 2.41
H 0.8750 0.8030 0.7500  2 Te 2.41
Te 0.5000 0.5000 0.0000  4 H 2.41
Te 0.2500 0.7500 0.5000  4 H 2.41
Ba 0.0000 0.0000 0.0000  4 H 2.74
Ba 0.7500 0.2500 0.5000  4 H 2.74

***

(8)
## BaTeH2 (GGA-PBE)

Data for a relaxed BaTeH2 crystal.

Results
E_tot (eV per cell): -29.63
Excess energy over the best structure of this formula in the dataset (meV per atom): 64

abc: 4.6317 7.0424 5.8414
angles: 90.00 90.00 109.19
Closest atoms and distances in Å follow each position.
Atoms (fractional coordinates):
Ba 0.8872 0.7745 0.2500  4 H 2.70
Ba 0.1128 0.2255 0.7500  4 H 2.70
Te 0.3895 0.7790 0.7500  2 H 2.88
Te 0.6105 0.2210 0.2500  2 H 2.88
H 0.2862 0.5727 0.3165  1 H 0.78
H 0.7138 0.4273 0.6835  1 H 0.78
H 0.2862 0.5727 0.1835  1 H 0.78
H 0.7138 0.4273 0.8165  1 H 0.78

***

(9)
## BaTeH3 (GGA-PBE)

Data for a relaxed BaTeH3 crystal.

Results
E_tot (eV per cell): -72.94
DOS at the Fermi energy (states/eV per cell): 0.0
Excess energy over the best structure of this formula in the dataset (meV per atom): 15

abc: 9.0913 8.5182 5.1342
angles: 90.00 94.68 90.00
Closest atoms and distances in Å follow each position.
Atoms (fractional coordinates):
Ba 0.5000 0.3165 0.5000  8 H 2.76-3.01
Ba 0.5000 0.8165 0.0000  8 H 2.76-3.01
Ba 0.0000 0.8182 0.0000  6 H 2.91-2.94
Ba 0.0000 0.3182 0.5000  6 H 2.91-2.94
Te 0.2410 0.1525 0.0297  1 H 2.57
Te 0.7590 0.1525 0.9703  1 H 2.57
Te 0.2410 0.6525 0.5297  1 H 2.57
Te 0.7590 0.6525 0.4703  1 H 2.57
H 0.3952 0.4823 0.0348  1 H 0.77
H 0.6048 0.4823 0.9652  1 H 0.77
H 0.3952 0.9823 0.5348  1 H 0.77
H 0.6048 0.9823 0.4652  1 H 0.77
H 0.9575 0.9797 0.4936  1 H 0.77
H 0.0425 0.9797 0.5064  1 H 0.77
H 0.9575 0.4797 0.9936  1 H 0.77
H 0.0425 0.4797 0.0064  1 H 0.77
H 0.3663 0.5286 0.1496  1 H 0.77
H 0.6337 0.5286 0.8504  1 H 0.77
H 0.3663 0.0286 0.6496  1 H 0.77
H 0.6337 0.0286 0.3504  1 H 0.77

***

(10)
## BaTeH3 (GGA-PBE)

Data for a relaxed BaTeH3 crystal.

Results
E_tot (eV per cell): -14.37
DOS at the Fermi energy (states/eV per cell): 2.1
Excess energy over the best structure of this formula in the dataset (meV per atom): 789

abc: 4.4403 4.4403 4.4403
angles: 90.00 90.00 90.00
Closest atoms and distances in Å follow each position.
Atoms (fractional coordinates):
H 0.0000 0.5000 0.0000  2 Te 2.22
H 0.0000 0.0000 0.5000  2 Te 2.22
H 0.5000 0.0000 0.0000  2 Te 2.22
Te 0.0000 0.0000 0.0000  6 H 2.22
Ba 0.5000 0.5000 0.5000  12 H 3.14